No. 1
Density functional theory data (PBE) for a relaxed CaCuB2 crystal.

a = 3.8881 Å, b = 3.8881 Å, c = 7.6930 Å
α = 75.36°, β = 75.36°, γ = 90.00°
Closest atoms and distances in Å follow each position.
Positions (direct):
Ca: 0.5000 0.5000 0.0000  4 Cu 2.75, 8 B 2.82
Ca: 0.2500 0.7500 0.5000  4 Cu 2.75, 8 B 2.82
B: 0.8750 0.1250 0.2500  2 B 1.94, 2 Cu 2.04
B: 0.8750 0.6250 0.2500  2 B 1.94, 2 Cu 2.04
B: 0.3750 0.1250 0.7500  2 B 1.94, 2 Cu 2.04
B: 0.8750 0.1250 0.7500  2 B 1.94, 2 Cu 2.04
Cu: 0.0000 0.0000 0.0000  4 B 2.04
Cu: 0.7500 0.2500 0.5000  4 B 2.04

Relative energy among the computed polymorphs: 0.000 eV/f.u.
Calculated total energy: -36.9 eV/cell
Energy of formation: 5.85 kcal/mol of atoms
SG: I4_1/amd, No. 141


No. 2
Density functional theory data (PBE) for a relaxed CaCuB crystal.

a = 3.3165 Å, b = 5.0983 Å, c = 6.2451 Å
α = 110.11°, β = 105.40°, γ = 90.00°
Closest atoms and distances in Å follow each position.
Positions (direct):
B: 0.7640 0.0547 0.5280  2 B 1.74
B: 0.2360 0.9453 0.4720  2 B 1.74
Cu: 0.5974 0.7486 0.1949  1 B 2.06
Cu: 0.4026 0.2514 0.8051  1 B 2.06
Ca: 0.8868 0.6934 0.7736  4 B 2.74-3.06, 4 Cu 2.86-2.96
Ca: 0.1132 0.3066 0.2264  4 B 2.74-3.06, 4 Cu 2.86-2.96

Calculated total energy: -25.6 eV/cell
Energy of formation: -0.04 kcal/mol of atoms
SG: C2/m, No. 12


No. 3
Density functional theory data (PBE) for a relaxed CaCuB2 crystal.

a = 4.1227 Å, b = 4.1227 Å, c = 4.1227 Å
α = 60.00°, β = 60.00°, γ = 60.00°
Closest atoms and distances in Å follow each position.
Positions (direct):
Ca: 0.0000 0.0000 0.0000  8 B 2.52
B: 0.2500 0.2500 0.2500  4 Cu 2.52, 4 Ca 2.52
B: 0.7500 0.7500 0.7500  4 Ca 2.52, 4 Cu 2.52
Cu: 0.5000 0.5000 0.5000  8 B 2.52

Relative energy among the computed polymorphs: 2.520 eV/f.u.
Calculated total energy: -15.9 eV/cell
Energy of formation: 20.38 kcal/mol of atoms
SG: Fm-3m, No. 225


No. 4
Density functional theory data (PBE) for a relaxed CaCuB3 crystal.

a = 4.6633 Å, b = 4.6633 Å, c = 4.6633 Å
α = 90.00°, β = 90.00°, γ = 90.00°
Closest atoms and distances in Å follow each position.
Positions (direct):
Ca: 0.0000 0.0000 0.0000  6 B 2.33
B: 0.0000 0.5000 0.0000  2 Ca 2.33
B: 0.0000 0.0000 0.5000  2 Ca 2.33
B: 0.5000 0.0000 0.0000  2 Ca 2.33
Cu: 0.5000 0.5000 0.5000  12 B 3.30

Relative energy among the computed polymorphs: 9.213 eV/f.u.
Calculated total energy: -11.7 eV/cell
Energy of formation: 66.56 kcal/mol of atoms
SG: Pm-3m, No. 221


No. 5
Density functional theory data (PBE) for a relaxed CaCuB3 crystal.

a = 3.9828 Å, b = 3.9828 Å, c = 3.9828 Å
α = 90.00°, β = 90.00°, γ = 90.00°
Closest atoms and distances in Å follow each position.
Positions (direct):
Ca: 0.5000 0.5000 0.5000  12 B 2.82
B: 0.0000 0.5000 0.0000  2 Cu 1.99
B: 0.0000 0.0000 0.5000  2 Cu 1.99
B: 0.5000 0.0000 0.0000  2 Cu 1.99
Cu: 0.0000 0.0000 0.0000  6 B 1.99

Relative energy among the computed polymorphs: 0.000 eV/f.u.
Calculated total energy: -20.9 eV/cell
Energy of formation: 24.07 kcal/mol of atoms
SG: Pm-3m, No. 221


No. 6
Density functional theory data (PBE) for a relaxed CaCu3B crystal.

a = 5.1151 Å, b = 5.1151 Å, c = 5.1151 Å
α = 90.00°, β = 90.00°, γ = 90.00°
Closest atoms and distances in Å follow each position.
Positions (direct):
Ca: 0.0000 0.0000 0.0000  6 Cu 2.56
B: 0.5000 0.5000 0.5000  12 Cu 3.62
Cu: 0.0000 0.5000 0.0000  2 Ca 2.56
Cu: 0.0000 0.0000 0.5000  2 Ca 2.56
Cu: 0.5000 0.0000 0.0000  2 Ca 2.56

Relative energy among the computed polymorphs: 10.659 eV/f.u.
Calculated total energy: -10.4 eV/cell
Energy of formation: 48.56 kcal/mol of atoms
SG: Pm-3m, No. 221


No. 7
Density functional theory data (PBE) for a relaxed CaCu3B crystal.

a = 4.1528 Å, b = 4.1528 Å, c = 4.1528 Å
α = 90.00°, β = 90.00°, γ = 90.00°
Closest atoms and distances in Å follow each position.
Positions (direct):
Ca: 0.5000 0.5000 0.5000  12 Cu 2.94
B: 0.0000 0.0000 0.0000  6 Cu 2.08
Cu: 0.0000 0.5000 0.0000  2 B 2.08
Cu: 0.0000 0.0000 0.5000  2 B 2.08
Cu: 0.5000 0.0000 0.0000  2 B 2.08

Relative energy among the computed polymorphs: 0.000 eV/f.u.
Calculated total energy: -21.1 eV/cell
Energy of formation: -0.60 kcal/mol of atoms
SG: Pm-3m, No. 221


No. 8
Density functional theory data (PBE) for a relaxed CaCuBH2 crystal.

a = 3.7513 Å, b = 6.1517 Å, c = 3.7513 Å
α = 90.00°, β = 90.00°, γ = 90.00°
Closest atoms and distances in Å follow each position.
Positions (direct):
H: 0.0000 0.0000 0.5000  2 Ca 1.88
H: 0.5000 0.0000 0.0000  2 Ca 1.88
Ca: 0.0000 0.0000 0.0000  4 H 1.88
B: 0.5000 0.5000 0.5000  4 Cu 2.65
Cu: 0.0000 0.5000 0.0000  4 B 2.65

Calculated total energy: -13.9 eV/cell
SG: P4/mmm, No. 123


No. 9
Density functional theory data (PBE) for a relaxed CaCuB2I crystal.

a = 4.9776 Å, b = 5.9107 Å, c = 4.9776 Å
α = 90.00°, β = 90.00°, γ = 90.00°
Closest atoms and distances in Å follow each position.
Positions (direct):
I: 0.0000 0.5000 0.0000  2 Ca 2.96
Ca: 0.0000 0.0000 0.0000  4 B 2.49
B: 0.0000 0.0000 0.5000  2 Ca 2.49
B: 0.5000 0.0000 0.0000  2 Ca 2.49
Cu: 0.5000 0.5000 0.5000  4 I 3.52, 8 B 3.86

Calculated total energy: -11.2 eV/cell
Formation energy from raw total energies: 1.971 eV/atom
SG: P4/mmm, No. 123


No. 10
Density functional theory data (PBE) for a relaxed CaCuBIr2 crystal.

a = 4.1981 Å, b = 4.1981 Å, c = 4.1976 Å
α = 90.00°, β = 90.00°, γ = 90.00°
Closest atoms and distances in Å follow each position.
Positions (direct):
Ca: 0.5000 0.5000 0.5000  8 Ir 2.97, 4 Cu 2.97
Ir: 0.0000 0.5000 0.0000  2 B 2.10
Ir: 0.5000 0.0000 0.0000  2 B 2.10
B: 0.0000 0.0000 0.0000  2 Cu 2.10, 4 Ir 2.10
Cu: 0.0000 0.0000 0.5000  2 B 2.10

Calculated total energy: -31.9 eV/cell
Energy of formation: -6.55 kcal/mol of atoms
SG: P4/mmm, No. 123


No. 11
Density functional theory data (PBE) for a relaxed CaCu2BIr crystal.

a = 4.1758 Å, b = 4.1758 Å, c = 4.1941 Å
α = 90.00°, β = 90.00°, γ = 90.00°
Closest atoms and distances in Å follow each position.
Positions (direct):
Ca: 0.5000 0.5000 0.5000  4 Ir 2.95, 8 Cu 2.96
Ir: 0.0000 0.0000 0.5000  2 B 2.10
B: 0.0000 0.0000 0.0000  4 Cu 2.09, 2 Ir 2.10
Cu: 0.0000 0.5000 0.0000  2 B 2.09
Cu: 0.5000 0.0000 0.0000  2 B 2.09

Calculated total energy: -26.4 eV/cell
Energy of formation: -3.21 kcal/mol of atoms
SG: P4/mmm, No. 123


No. 12
Density functional theory data (PBE) for a relaxed LiCaCuB2 crystal.

a = 4.8713 Å, b = 5.1495 Å, c = 4.8713 Å
α = 90.00°, β = 90.00°, γ = 90.00°
Closest atoms and distances in Å follow each position.
Positions (direct):
Ca: 0.0000 0.0000 0.0000  4 B 2.44, 2 Cu 2.57
B: 0.0000 0.0000 0.5000  2 Ca 2.44
B: 0.5000 0.0000 0.0000  2 Ca 2.44
Cu: 0.0000 0.5000 0.0000  2 Ca 2.57
Li: 0.5000 0.5000 0.5000  4 Cu 3.44, 8 B 3.54

Calculated total energy: -11.7 eV/cell
Energy of formation: 44.62 kcal/mol of atoms
SG: P4/mmm, No. 123


No. 13
Density functional theory data (PBE) for a relaxed CaCu2NiB crystal.

a = 4.1213 Å, b = 4.1213 Å, c = 4.0816 Å
α = 90.00°, β = 90.00°, γ = 90.00°
Closest atoms and distances in Å follow each position.
Positions (direct):
Ni: 0.0000 0.0000 0.5000  2 B 2.04
Ca: 0.5000 0.5000 0.5000  8 Cu 2.90, 4 Ni 2.91
B: 0.0000 0.0000 0.0000  2 Ni 2.04, 4 Cu 2.06
Cu: 0.0000 0.5000 0.0000  2 B 2.06
Cu: 0.5000 0.0000 0.0000  2 B 2.06

Calculated total energy: -23.0 eV/cell
Energy of formation: -1.48 kcal/mol of atoms
SG: P4/mmm, No. 123


No. 14
Density functional theory data (PBE) for a relaxed CaCu2BO4 crystal.

a = 5.1917 Å, b = 4.7284 Å, c = 4.7284 Å
α = 77.92°, β = 56.70°, γ = 56.70°
Closest atoms and distances in Å follow each position.
Positions (direct):
Ca: 0.0000 0.0000 0.0000  8 O 2.45-2.59
Cu: 0.5000 0.7428 0.2572  4 O 2.02-2.05
Cu: 0.5000 0.2572 0.7428  4 O 2.02-2.05
B: 0.0000 0.5000 0.5000  4 O 1.50
O: 0.6649 0.5231 0.8118  1 B 1.50
O: 0.3351 0.1882 0.4769  1 B 1.50
O: 0.9997 0.4769 0.1882  1 B 1.50
O: 0.0003 0.8118 0.5231  1 B 1.50

Calculated total energy: -50.3 eV/cell
Formation energy from raw total energies: -1.696 eV/atom
SG: I222, No. 23


No. 15
Density functional theory data (PBE) for a relaxed CaCuBPb2 crystal.

a = 5.9323 Å, b = 4.6031 Å, c = 5.9323 Å
α = 90.00°, β = 90.00°, γ = 90.00°
Closest atoms and distances in Å follow each position.
Positions (direct):
Pb: 0.0000 0.0000 0.5000  2 Ca 2.97
Pb: 0.5000 0.0000 0.0000  2 Ca 2.97
Ca: 0.0000 0.0000 0.0000  2 B 2.30
B: 0.0000 0.5000 0.0000  2 Ca 2.30
Cu: 0.5000 0.5000 0.5000  8 Pb 3.75, 4 B 4.19

Calculated total energy: -12.6 eV/cell
Energy of formation: 35.23 kcal/mol of atoms
SG: P4/mmm, No. 123


No. 16
Density functional theory data (PBE) for a relaxed CaCu2BPd crystal.

a = 4.1379 Å, b = 4.1379 Å, c = 4.3822 Å
α = 90.00°, β = 90.00°, γ = 90.00°
Closest atoms and distances in Å follow each position.
Positions (direct):
Ca: 0.5000 0.5000 0.5000  4 Pd 2.93, 8 Cu 3.01
B: 0.0000 0.0000 0.0000  4 Cu 2.07, 2 Pd 2.19
Cu: 0.0000 0.5000 0.0000  2 B 2.07
Cu: 0.5000 0.0000 0.0000  2 B 2.07
Pd: 0.0000 0.0000 0.5000  2 B 2.19

Calculated total energy: -23.0 eV/cell
Energy of formation: -4.12 kcal/mol of atoms
SG: P4/mmm, No. 123


No. 17
Density functional theory data (PBE) for a relaxed Ca2CuBPd6 crystal.

a = 5.7894 Å, b = 7.0520 Å, c = 7.0502 Å
α = 48.49°, β = 65.75°, γ = 90.00°
Closest atoms and distances in Å follow each position.
Positions (direct):
Ca: 0.7193 0.2802 0.5614  9 Pd 3.05-3.42
Ca: 0.2807 0.7198 0.4386  9 Pd 3.05-3.42
Cu: 0.0000 0.0000 0.0000  6 Pd 2.54
B: 0.5000 0.5000 0.0000  6 Pd 2.08
Pd: 0.2657 0.2156 0.4686  1 B 2.08
Pd: 0.7832 0.7337 0.9513  1 B 2.08
Pd: 0.2656 0.7337 0.9513  1 B 2.08
Pd: 0.7344 0.2663 0.0487  1 B 2.08
Pd: 0.2168 0.2663 0.0487  1 B 2.08
Pd: 0.7343 0.7844 0.5314  1 B 2.08

Calculated total energy: -50.8 eV/cell
Energy of formation: -11.12 kcal/mol of atoms
SG: R-3m, No. 166


No. 18
Density functional theory data (PBE) for a relaxed Ca2CuB2Pd5 crystal.

a = 3.2280 Å, b = 9.6106 Å, c = 9.6106 Å
α = 90.00°, β = 90.00°, γ = 90.00°
Closest atoms and distances in Å follow each position.
Positions (direct):
Ca: 0.0000 0.6761 0.1761  3 B 2.72-2.93, 10 Pd 2.89-3.04
Ca: 0.0000 0.3239 0.8239  3 B 2.72-2.93, 10 Pd 2.89-3.04
Ca: 0.0000 0.1761 0.3239  3 B 2.72-2.93, 10 Pd 2.89-3.04
Ca: 0.0000 0.8239 0.6761  3 B 2.72-2.93, 10 Pd 2.89-3.04
Cu: 0.0000 0.0000 0.0000  8 Pd 2.73
Cu: 0.0000 0.5000 0.5000  8 Pd 2.73
B: 0.0000 0.1239 0.6239  6 Pd 2.27-2.33
B: 0.0000 0.8761 0.3761  6 Pd 2.27-2.33
B: 0.0000 0.6239 0.8761  6 Pd 2.27-2.33
B: 0.0000 0.3761 0.1239  6 Pd 2.27-2.33
Pd: 0.5000 0.2188 0.0699  2 B 2.27
Pd: 0.5000 0.7812 0.9301  2 B 2.27
Pd: 0.5000 0.0699 0.7812  2 B 2.27
Pd: 0.5000 0.7188 0.4301  2 B 2.27
Pd: 0.5000 0.9301 0.2188  2 B 2.27
Pd: 0.5000 0.2812 0.5699  2 B 2.27
Pd: 0.5000 0.5699 0.7188  2 B 2.27
Pd: 0.5000 0.4301 0.2812  2 B 2.27
Pd: 0.5000 0.5000 0.0000  4 B 2.33
Pd: 0.5000 0.0000 0.5000  4 B 2.33

Calculated total energy: -103.1 eV/cell
Energy of formation: -9.57 kcal/mol of atoms
SG: P4/mbm, No. 127


No. 19
Density functional theory data (PBE) for a relaxed CaCu2BPt crystal.

a = 4.1816 Å, b = 4.1816 Å, c = 4.2962 Å
α = 90.00°, β = 90.00°, γ = 90.00°
Closest atoms and distances in Å follow each position.
Positions (direct):
Ca: 0.5000 0.5000 0.5000  4 Pt 2.96, 8 Cu 3.00
B: 0.0000 0.0000 0.0000  4 Cu 2.09, 2 Pt 2.15
Cu: 0.0000 0.5000 0.0000  2 B 2.09
Cu: 0.5000 0.0000 0.0000  2 B 2.09
Pt: 0.0000 0.0000 0.5000  2 B 2.15

Calculated total energy: -24.3 eV/cell
Energy of formation: -6.28 kcal/mol of atoms
SG: P4/mmm, No. 123


No. 20
Density functional theory data (PBE) for a relaxed Ca2CuB2Pt5 crystal.

a = 3.2280 Å, b = 9.5991 Å, c = 9.5991 Å
α = 90.00°, β = 90.00°, γ = 90.00°
Closest atoms and distances in Å follow each position.
Positions (direct):
Ca: 0.0000 0.6764 0.1764  3 B 2.70-2.93, 6 Pt 2.89-2.96
Ca: 0.0000 0.3236 0.8236  3 B 2.70-2.93, 6 Pt 2.89-2.96
Ca: 0.0000 0.1764 0.3236  3 B 2.70-2.93, 6 Pt 2.89-2.96
Ca: 0.0000 0.8236 0.6764  3 B 2.70-2.93, 6 Pt 2.89-2.96
Cu: 0.0000 0.0000 0.0000  8 Pt 2.72
Cu: 0.0000 0.5000 0.5000  8 Pt 2.72
B: 0.0000 0.1248 0.6248  6 Pt 2.28-2.34
B: 0.0000 0.8752 0.3752  6 Pt 2.28-2.34
B: 0.0000 0.6248 0.8752  6 Pt 2.28-2.34
B: 0.0000 0.3752 0.1248  6 Pt 2.28-2.34
Pt: 0.5000 0.2173 0.0689  2 B 2.28
Pt: 0.5000 0.7827 0.9311  2 B 2.28
Pt: 0.5000 0.0689 0.7827  2 B 2.28
Pt: 0.5000 0.7173 0.4311  2 B 2.28
Pt: 0.5000 0.9311 0.2173  2 B 2.28
Pt: 0.5000 0.2827 0.5689  2 B 2.28
Pt: 0.5000 0.5689 0.7173  2 B 2.28
Pt: 0.5000 0.4311 0.2827  2 B 2.28
Pt: 0.5000 0.5000 0.0000  4 B 2.34
Pt: 0.5000 0.0000 0.5000  4 B 2.34

Calculated total energy: -114.8 eV/cell
Energy of formation: -13.19 kcal/mol of atoms
SG: P4/mbm, No. 127